Record 1
# HfTaNiGe (GGA-PBE, relaxed)
data_HfTaNiGe
_chemical_formula_sum 'Hf1 Ta1 Ni1 Ge1'
_space_group_name_H-M_alt 'P 1'
_space_group_IT_number 1
_space_group_name_Hall 'P 1'
_cell_length_a 4.540
_cell_length_b 4.540
_cell_length_c 4.540
_cell_angle_alpha 60.00
_cell_angle_beta 60.00
_cell_angle_gamma 60.00
loop_
_atom_site_label
_atom_site_fract_x
_atom_site_fract_y
_atom_site_fract_z
Hf1 0.000 0.000 0.000
Ta1 0.250 0.250 0.250
Ni1 0.750 0.750 0.750
Ge1 0.500 0.500 0.500
# Symmetry: F-43m (216)
# Total energy, eV per atom: -7.812
# Crystal system: cubic

Record 2
# CoTcSnW (GGA-PBE, relaxed)
data_CoTcSnW
_chemical_formula_sum 'Co1 Tc1 Sn1 W1'
_space_group_name_H-M_alt 'P 1'
_space_group_IT_number 1
_space_group_name_Hall 'P 1'
_cell_length_a 4.431
_cell_length_b 4.431
_cell_length_c 4.431
_cell_angle_alpha 60.00
_cell_angle_beta 60.00
_cell_angle_gamma 60.00
loop_
_atom_site_label
_atom_site_fract_x
_atom_site_fract_y
_atom_site_fract_z
Co1 0.000 0.000 0.000
Tc1 0.500 0.500 0.500
Sn1 0.750 0.750 0.750
W1 0.250 0.250 0.250
# Symmetry: F-43m (216)
# Total energy, eV per atom: -8.435
# Crystal system: cubic

Record 3
# TlCuSiPd (GGA-PBE, relaxed)
data_TlCuSiPd
_chemical_formula_sum 'Tl1 Cu1 Si1 Pd1'
_space_group_name_H-M_alt 'P 1'
_space_group_IT_number 1
_space_group_name_Hall 'P 1'
_cell_length_a 4.588
_cell_length_b 4.588
_cell_length_c 4.588
_cell_angle_alpha 60.00
_cell_angle_beta 60.00
_cell_angle_gamma 60.00
loop_
_atom_site_label
_atom_site_fract_x
_atom_site_fract_y
_atom_site_fract_z
Tl1 0.000 0.000 0.000
Cu1 0.750 0.750 0.750
Si1 0.250 0.250 0.250
Pd1 0.500 0.500 0.500
# Symmetry: F-43m (216)
# Total energy, eV per atom: -3.891
# Crystal system: cubic

Record 4
# ErTm2Ga3NiSn2 (GGA-PBE, relaxed)
data_ErTm2Ga3NiSn2
_chemical_formula_sum 'Er1 Tm2 Ga3 Ni1 Sn2'
_space_group_name_H-M_alt 'P 1'
_space_group_IT_number 1
_space_group_name_Hall 'P 1'
_cell_length_a 4.219
_cell_length_b 7.229
_cell_length_c 7.229
_cell_angle_alpha 120.16
_cell_angle_beta 90.00
_cell_angle_gamma 90.00
loop_
_atom_site_label
_atom_site_fract_x
_atom_site_fract_y
_atom_site_fract_z
Er1 0.000 0.000 0.000
Tm1 0.000 0.244 0.621
Tm2 0.000 0.621 0.244
Ga1 0.500 0.400 0.400
Ga2 0.500 0.621 0.842
Ga3 0.500 0.842 0.621
Ni1 0.000 0.620 0.620
Sn1 0.500 0.289 0.954
Sn2 0.500 0.954 0.289
# Symmetry: Amm2 (38)
# Total energy, eV per atom: -4.603
# Crystal system: orthorhombic

Record 5
# Hf2Ta4In3C3 (GGA-PBE, relaxed)
data_Hf2Ta4In3C3
_chemical_formula_sum 'Hf4 Ta8 In6 C6'
_space_group_name_H-M_alt 'P 1'
_space_group_IT_number 1
_space_group_name_Hall 'P 1'
_cell_length_a 5.547
_cell_length_b 5.547
_cell_length_c 15.022
_cell_angle_alpha 100.71
_cell_angle_beta 100.71
_cell_angle_gamma 60.00
loop_
_atom_site_label
_atom_site_fract_x
_atom_site_fract_y
_atom_site_fract_z
Hf1 0.030 0.867 0.589
Hf2 0.133 0.970 0.911
Hf3 0.867 0.030 0.089
Hf4 0.970 0.133 0.411
Ta1 0.194 0.356 0.081
Ta2 0.302 0.477 0.419
Ta3 0.356 0.194 0.581
Ta4 0.477 0.302 0.919
Ta5 0.523 0.698 0.081
Ta6 0.644 0.806 0.419
Ta7 0.698 0.523 0.581
Ta8 0.806 0.644 0.919
In1 0.084 0.267 0.751
In2 0.267 0.084 0.251
In3 0.433 0.567 0.750
In4 0.567 0.433 0.250
In5 0.733 0.916 0.749
In6 0.916 0.733 0.249
C1 0.000 0.500 0.500
C2 0.168 0.663 0.000
C3 0.337 0.832 0.500
C4 0.500 0.000 0.000
C5 0.663 0.168 0.500
C6 0.832 0.337 0.000
# Symmetry: C2/c (15)
# Total energy, eV per atom: -9.115
# Crystal system: monoclinic

Record 6
# Y2ZnIr (GGA-PBE, relaxed)
data_Y2ZnIr
_chemical_formula_sum 'Y4 Zn2 Ir2'
_space_group_name_H-M_alt 'P 1'
_space_group_IT_number 1
_space_group_name_Hall 'P 1'
_cell_length_a 4.073
_cell_length_b 4.073
_cell_length_c 14.232
_cell_angle_alpha 90.00
_cell_angle_beta 90.00
_cell_angle_gamma 120.00
loop_
_atom_site_label
_atom_site_fract_x
_atom_site_fract_y
_atom_site_fract_z
Y1 0.333 0.667 0.104
Y2 0.333 0.667 0.396
Y3 0.667 0.333 0.604
Y4 0.667 0.333 0.896
Zn1 0.333 0.667 0.750
Zn2 0.667 0.333 0.250
Ir1 0.000 0.000 0.000
Ir2 0.000 0.000 0.500
# Symmetry: P6_3/mmc (194)
# Total energy, eV per atom: -6.164
# Energy of formation from the pure elements, eV per atom: -0.4018
# Crystal system: hexagonal

Record 7
# HoZr2O4 (GGA-PBE, relaxed)
data_HoZr2O4
_chemical_formula_sum 'Ho2 Zr4 O8'
_space_group_name_H-M_alt 'P 1'
_space_group_IT_number 1
_space_group_name_Hall 'P 1'
_cell_length_a 6.535
_cell_length_b 6.535
_cell_length_c 6.535
_cell_angle_alpha 60.00
_cell_angle_beta 60.00
_cell_angle_gamma 60.00
loop_
_atom_site_label
_atom_site_fract_x
_atom_site_fract_y
_atom_site_fract_z
Ho1 0.125 0.125 0.125
Ho2 0.875 0.875 0.875
Zr1 0.000 0.500 0.500
Zr2 0.500 0.000 0.500
Zr3 0.500 0.500 0.000
Zr4 0.500 0.500 0.500
O1 0.257 0.257 0.257
O2 0.257 0.257 0.730
O3 0.257 0.730 0.257
O4 0.270 0.743 0.743
O5 0.730 0.257 0.257
O6 0.743 0.270 0.743
O7 0.743 0.743 0.270
O8 0.743 0.743 0.743
# Symmetry: Fd-3m (227)
# Total energy, eV per atom: -8.753
# Crystal system: cubic

Record 8
# FeB4Pb (GGA-PBE, relaxed)
data_FeB4Pb
_chemical_formula_sum 'Fe1 B4 Pb1'
_space_group_name_H-M_alt 'P 1'
_space_group_IT_number 1
_space_group_name_Hall 'P 1'
_cell_length_a 3.033
_cell_length_b 3.033
_cell_length_c 8.394
_cell_angle_alpha 90.00
_cell_angle_beta 90.00
_cell_angle_gamma 120.00
loop_
_atom_site_label
_atom_site_fract_x
_atom_site_fract_y
_atom_site_fract_z
Fe1 0.000 0.000 0.000
B1 0.333 0.667 0.175
B2 0.333 0.667 0.825
B3 0.667 0.333 0.175
B4 0.667 0.333 0.825
Pb1 0.000 0.000 0.500
# Symmetry: P6/mmm (191)
# Total energy, eV per atom: -6.140
# Crystal system: hexagonal

Record 9
# YMgTlPd (GGA-PBE, relaxed)
data_YMgTlPd
_chemical_formula_sum 'Y1 Mg1 Tl1 Pd1'
_space_group_name_H-M_alt 'P 1'
_space_group_IT_number 1
_space_group_name_Hall 'P 1'
_cell_length_a 4.931
_cell_length_b 4.931
_cell_length_c 4.931
_cell_angle_alpha 60.00
_cell_angle_beta 60.00
_cell_angle_gamma 60.00
loop_
_atom_site_label
_atom_site_fract_x
_atom_site_fract_y
_atom_site_fract_z
Y1 0.000 0.000 0.000
Mg1 0.250 0.250 0.250
Tl1 0.750 0.750 0.750
Pd1 0.500 0.500 0.500
# Symmetry: F-43m (216)
# Total energy, eV per atom: -4.254
# Crystal system: cubic

Record 10
# GdH12Cl3O6 (GGA-PBE, relaxed)
data_GdH12Cl3O6
_chemical_formula_sum 'Gd2 H24 Cl6 O12'
_space_group_name_H-M_alt 'P 1'
_space_group_IT_number 1
_space_group_name_Hall 'P 1'
_cell_length_a 7.752
_cell_length_b 6.389
_cell_length_c 11.824
_cell_angle_alpha 90.00
_cell_angle_beta 127.55
_cell_angle_gamma 90.00
loop_
_atom_site_label
_atom_site_fract_x
_atom_site_fract_y
_atom_site_fract_z
Gd1 0.000 0.154 0.250
Gd2 0.000 0.846 0.750
H1 0.035 0.444 0.889
H2 0.035 0.556 0.389
H3 0.203 0.475 0.181
H4 0.203 0.525 0.681
H5 0.243 0.096 0.129
H6 0.243 0.904 0.629
H7 0.328 0.091 0.737
H8 0.328 0.909 0.237
H9 0.374 0.334 0.537
H10 0.374 0.666 0.037
H11 0.476 0.250 0.465
H12 0.476 0.750 0.965
H13 0.524 0.250 0.035
H14 0.524 0.750 0.535
H15 0.626 0.334 0.963
H16 0.626 0.666 0.463
H17 0.672 0.091 0.763
H18 0.672 0.909 0.263
H19 0.757 0.096 0.371
H20 0.757 0.904 0.871
H21 0.797 0.475 0.319
H22 0.797 0.525 0.819
H23 0.965 0.444 0.611
H24 0.965 0.556 0.111
Cl1 0.206 0.173 0.946
Cl2 0.206 0.827 0.446
Cl3 0.500 0.375 0.750
Cl4 0.500 0.625 0.250
Cl5 0.794 0.173 0.554
Cl6 0.794 0.827 0.054
O1 0.056 0.427 0.142
O2 0.056 0.573 0.642
O3 0.262 0.049 0.216
O4 0.262 0.951 0.716
O5 0.337 0.298 0.443
O6 0.337 0.702 0.943
O7 0.663 0.298 0.057
O8 0.663 0.702 0.557
O9 0.738 0.049 0.284
O10 0.738 0.951 0.784
O11 0.944 0.427 0.358
O12 0.944 0.573 0.858
# Symmetry: P2/c (13)
# Total energy, eV per atom: -4.945
# Crystal system: monoclinic

Record 11
# ScTlAuSe3 (GGA-PBE, relaxed)
data_ScTlAuSe3
_chemical_formula_sum 'Sc2 Tl2 Au2 Se6'
_space_group_name_H-M_alt 'P 1'
_space_group_IT_number 1
_space_group_name_Hall 'P 1'
_cell_length_a 7.382
_cell_length_b 7.382
_cell_length_c 10.609
_cell_angle_alpha 90.00
_cell_angle_beta 90.00
_cell_angle_gamma 149.18
loop_
_atom_site_label
_atom_site_fract_x
_atom_site_fract_y
_atom_site_fract_z
Sc1 0.000 0.000 0.000
Sc2 0.000 0.000 0.500
Tl1 0.262 0.738 0.750
Tl2 0.738 0.262 0.250
Au1 0.407 0.593 0.250
Au2 0.593 0.407 0.750
Se1 0.047 0.953 0.250
Se2 0.368 0.632 0.018
Se3 0.368 0.632 0.482
Se4 0.632 0.368 0.518
Se5 0.632 0.368 0.982
Se6 0.953 0.047 0.750
# Symmetry: Cmcm (63)
# Total energy, eV per atom: -4.522
# Crystal system: orthorhombic

Record 12
# Nb4Ga3W2N3 (GGA-PBE, relaxed)
data_Nb4Ga3W2N3
_chemical_formula_sum 'Nb8 Ga6 W4 N6'
_space_group_name_H-M_alt 'P 1'
_space_group_IT_number 1
_space_group_name_Hall 'P 1'
_cell_length_a 5.149
_cell_length_b 5.149
_cell_length_c 14.609
_cell_angle_alpha 100.18
_cell_angle_beta 100.18
_cell_angle_gamma 59.88
loop_
_atom_site_label
_atom_site_fract_x
_atom_site_fract_y
_atom_site_fract_z
Nb1 0.032 0.198 0.096
Nb2 0.134 0.301 0.404
Nb3 0.198 0.032 0.596
Nb4 0.301 0.134 0.904
Nb5 0.699 0.866 0.096
Nb6 0.802 0.968 0.404
Nb7 0.866 0.699 0.596
Nb8 0.968 0.802 0.904
Ga1 0.099 0.901 0.250
Ga2 0.267 0.417 0.750
Ga3 0.417 0.267 0.250
Ga4 0.583 0.733 0.750
Ga5 0.733 0.583 0.250
Ga6 0.901 0.099 0.750
W1 0.363 0.532 0.095
W2 0.468 0.637 0.405
W3 0.532 0.363 0.595
W4 0.637 0.468 0.905
N1 0.000 0.500 0.000
N2 0.176 0.662 0.500
N3 0.338 0.824 0.000
N4 0.500 0.000 0.500
N5 0.662 0.176 0.000
N6 0.824 0.338 0.500
# Symmetry: C2/c (15)
# Total energy, eV per atom: -8.791
# Crystal system: monoclinic

Record 13
# PuNiN3 (GGA-PBE, relaxed)
data_PuNiN3
_chemical_formula_sum 'Pu2 Ni2 N6'
_space_group_name_H-M_alt 'P 1'
_space_group_IT_number 1
_space_group_name_Hall 'P 1'
_cell_length_a 5.597
_cell_length_b 5.597
_cell_length_c 7.520
_cell_angle_alpha 105.61
_cell_angle_beta 105.61
_cell_angle_gamma 37.88
loop_
_atom_site_label
_atom_site_fract_x
_atom_site_fract_y
_atom_site_fract_z
Pu1 0.164 0.164 0.305
Pu2 0.836 0.836 0.695
Ni1 0.445 0.445 0.334
Ni2 0.555 0.555 0.666
N1 0.350 0.350 0.933
N2 0.359 0.359 0.527
N3 0.384 0.384 0.097
N4 0.616 0.616 0.903
N5 0.641 0.641 0.473
N6 0.650 0.650 0.067
# Symmetry: C2/m (12)
# Total energy, eV per atom: -9.331
# Crystal system: monoclinic

Record 14
# Zr2AgGe2 (GGA-PBE, relaxed)
data_Zr2AgGe2
_chemical_formula_sum 'Zr2 Ag1 Ge2'
_space_group_name_H-M_alt 'P 1'
_space_group_IT_number 1
_space_group_name_Hall 'P 1'
_cell_length_a 6.358
_cell_length_b 6.358
_cell_length_c 6.358
_cell_angle_alpha 138.23
_cell_angle_beta 138.23
_cell_angle_gamma 60.56
loop_
_atom_site_label
_atom_site_fract_x
_atom_site_fract_y
_atom_site_fract_z
Zr1 0.250 0.750 0.500
Zr2 0.750 0.250 0.500
Ag1 0.000 0.000 0.000
Ge1 0.390 0.390 0.000
Ge2 0.610 0.610 0.000
# Symmetry: I4/mmm (139)
# Total energy, eV per atom: -5.809
# Crystal system: tetragonal

Record 15
# ScFeNiPb (GGA-PBE, relaxed)
data_ScFeNiPb
_chemical_formula_sum 'Sc1 Fe1 Ni1 Pb1'
_space_group_name_H-M_alt 'P 1'
_space_group_IT_number 1
_space_group_name_Hall 'P 1'
_cell_length_a 4.500
_cell_length_b 4.500
_cell_length_c 4.500
_cell_angle_alpha 60.00
_cell_angle_beta 60.00
_cell_angle_gamma 60.00
loop_
_atom_site_label
_atom_site_fract_x
_atom_site_fract_y
_atom_site_fract_z
Sc1 0.000 0.000 0.000
Fe1 0.250 0.250 0.250
Ni1 0.750 0.750 0.750
Pb1 0.500 0.500 0.500
# Symmetry: F-43m (216)
# Total energy, eV per atom: -6.029
# Crystal system: cubic

Record 16
# SmYNi2Ge (GGA-PBE, relaxed)
data_SmYNi2Ge
_chemical_formula_sum 'Sm1 Y1 Ni2 Ge1'
_space_group_name_H-M_alt 'P 1'
_space_group_IT_number 1
_space_group_name_Hall 'P 1'
_cell_length_a 3.669
_cell_length_b 6.981
_cell_length_c 6.981
_cell_angle_alpha 33.27
_cell_angle_beta 90.00
_cell_angle_gamma 90.00
loop_
_atom_site_label
_atom_site_fract_x
_atom_site_fract_y
_atom_site_fract_z
Sm1 0.000 0.000 0.000
Y1 0.000 0.257 0.257
Ni1 0.500 0.432 0.432
Ni2 0.500 0.823 0.823
Ge1 0.500 0.631 0.631
# Symmetry: Amm2 (38)
# Total energy, eV per atom: -5.952
# Crystal system: orthorhombic

Record 17
# K2Ta2Se5 (GGA-PBE, relaxed)
data_K2Ta2Se5
_chemical_formula_sum 'K4 Ta4 Se10'
_space_group_name_H-M_alt 'P 1'
_space_group_IT_number 1
_space_group_name_Hall 'P 1'
_cell_length_a 6.627
_cell_length_b 6.627
_cell_length_c 12.514
_cell_angle_alpha 104.63
_cell_angle_beta 104.63
_cell_angle_gamma 74.66
loop_
_atom_site_label
_atom_site_fract_x
_atom_site_fract_y
_atom_site_fract_z
K1 0.055 0.377 0.312
K2 0.377 0.055 0.812
K3 0.623 0.945 0.188
K4 0.945 0.623 0.688
Ta1 0.208 0.570 0.046
Ta2 0.430 0.792 0.454
Ta3 0.570 0.208 0.546
Ta4 0.792 0.430 0.954
Se1 0.150 0.209 0.034
Se2 0.208 0.792 0.250
Se3 0.209 0.150 0.534
Se4 0.362 0.588 0.885
Se5 0.412 0.638 0.615
Se6 0.588 0.362 0.385
Se7 0.638 0.412 0.115
Se8 0.791 0.850 0.466
Se9 0.792 0.208 0.750
Se10 0.850 0.791 0.966
# Symmetry: C2/c (15)
# Total energy, eV per atom: -5.699
# Crystal system: monoclinic

Record 18
# Lu3Sb3Mo2N12 (GGA-PBE, relaxed)
data_Lu3Sb3Mo2N12
_chemical_formula_sum 'Lu12 Sb12 Mo8 N48'
_space_group_name_H-M_alt 'P 1'
_space_group_IT_number 1
_space_group_name_Hall 'P 1'
_cell_length_a 11.013
_cell_length_b 11.013
_cell_length_c 11.013
_cell_angle_alpha 109.47
_cell_angle_beta 109.47
_cell_angle_gamma 109.47
loop_
_atom_site_label
_atom_site_fract_x
_atom_site_fract_y
_atom_site_fract_z
Lu1 0.125 0.250 0.375
Lu2 0.125 0.375 0.750
Lu3 0.250 0.375 0.125
Lu4 0.250 0.875 0.625
Lu5 0.375 0.125 0.250
Lu6 0.375 0.750 0.125
Lu7 0.625 0.250 0.875
Lu8 0.625 0.875 0.750
Lu9 0.750 0.125 0.375
Lu10 0.750 0.625 0.875
Lu11 0.875 0.625 0.250
Lu12 0.875 0.750 0.625
Sb1 0.125 0.750 0.875
Sb2 0.125 0.875 0.250
Sb3 0.250 0.125 0.875
Sb4 0.250 0.625 0.375
Sb5 0.375 0.250 0.625
Sb6 0.375 0.625 0.750
Sb7 0.625 0.375 0.250
Sb8 0.625 0.750 0.375
Sb9 0.750 0.375 0.625
Sb10 0.750 0.875 0.125
Sb11 0.875 0.125 0.750
Sb12 0.875 0.250 0.125
Mo1 0.000 0.000 0.000
Mo2 0.000 0.000 0.500
Mo3 0.000 0.500 0.000
Mo4 0.000 0.500 0.500
Mo5 0.500 0.000 0.000
Mo6 0.500 0.000 0.500
Mo7 0.500 0.500 0.000
Mo8 0.500 0.500 0.500
N1 0.034 0.206 0.118
N2 0.034 0.327 0.916
N3 0.084 0.618 0.412
N4 0.084 0.966 0.673
N5 0.088 0.706 0.673
N6 0.088 0.882 0.416
N7 0.118 0.034 0.206
N8 0.118 0.584 0.912
N9 0.173 0.206 0.588
N10 0.173 0.466 0.584
N11 0.206 0.118 0.034
N12 0.206 0.588 0.173
N13 0.294 0.327 0.912
N14 0.294 0.466 0.382
N15 0.327 0.912 0.294
N16 0.327 0.916 0.034
N17 0.382 0.294 0.466
N18 0.382 0.588 0.916
N19 0.412 0.084 0.618
N20 0.412 0.827 0.794
N21 0.416 0.088 0.882
N22 0.416 0.827 0.534
N23 0.466 0.382 0.294
N24 0.466 0.584 0.173
N25 0.534 0.416 0.827
N26 0.534 0.618 0.706
N27 0.584 0.173 0.466
N28 0.584 0.912 0.118
N29 0.588 0.173 0.206
N30 0.588 0.916 0.382
N31 0.618 0.412 0.084
N32 0.618 0.706 0.534
N33 0.673 0.084 0.966
N34 0.673 0.088 0.706
N35 0.706 0.534 0.618
N36 0.706 0.673 0.088
N37 0.794 0.412 0.827
N38 0.794 0.882 0.966
N39 0.827 0.534 0.416
N40 0.827 0.794 0.412
N41 0.882 0.416 0.088
N42 0.882 0.966 0.794
N43 0.912 0.118 0.584
N44 0.912 0.294 0.327
N45 0.916 0.034 0.327
N46 0.916 0.382 0.588
N47 0.966 0.673 0.084
N48 0.966 0.794 0.882
# Symmetry: Ia-3d (230)
# Total energy, eV per atom: -7.612
# Crystal system: cubic